No. 1
A relaxed structure of KSrTa2, computed with GGA-PBEsol.

The structure in POSCAR format:
```
KSrTa2
1.0
4.024 0.000 0.000
0.000 4.024 0.000
0.000 0.000 5.917
K Sr Ta
1 1 2
Cartesian
0.000 0.000 0.000 K
2.012 2.012 0.000 Sr
0.000 2.012 2.958 Ta
2.012 0.000 2.958 Ta
```

Output
offset from the most stable computed form = 77.5 kJ/mol of formula units
electronic total energy = -5.622 eV per atom
ΔH_f (0 K) = 1.397 eV per atom

=====

No. 2
A relaxed structure of KSr3Ta, computed with GGA-PBEsol.

The structure in POSCAR format:
```
KSr3Ta
1.0
5.854 0.000 0.000
0.000 5.854 0.000
0.000 0.000 5.854
K Sr Ta
1 3 1
Cartesian
0.000 0.000 0.000 K
0.000 0.000 2.927 Sr
0.000 2.927 0.000 Sr
2.927 0.000 0.000 Sr
2.927 2.927 2.927 Ta
```

Output
electronic total energy = -2.064 eV per atom
ΔH_f (0 K) = 1.777 eV per atom

=====

No. 3
A relaxed structure of KSrTa2, computed with GGA-PBEsol.

The structure in POSCAR format:
```
KSrTa2
1.0
-1.616 3.120 5.805
1.616 -3.120 5.805
1.616 3.120 -5.805
K Sr Ta
1 1 2
Cartesian
0.000 0.000 0.000 K
1.616 0.000 3.405 Sr
0.000 0.000 6.552 Ta
0.000 3.120 2.667 Ta
```

Output
offset from the most stable computed form = 0.0 kJ/mol of formula units
electronic total energy = -5.823 eV per atom
ΔH_f (0 K) = 1.196 eV per atom

=====

No. 4
A relaxed structure of KSr2Ta, computed with GGA-PBEsol.

The structure in POSCAR format:
```
KSr2Ta
1.0
4.249 0.000 0.000
0.000 4.249 0.000
0.000 0.000 9.341
K Sr Ta
1 2 1
Cartesian
0.000 0.000 0.000 K
0.000 0.000 5.676 Sr
2.124 2.124 3.271 Sr
2.124 2.124 6.902 Ta
```

Output
offset from the most stable computed form = 25.7 kJ/mol of formula units
electronic total energy = -3.185 eV per atom
ΔH_f (0 K) = 1.157 eV per atom

=====

No. 5
A relaxed structure of KSrTa2, computed with GGA-PBEsol.

The structure in POSCAR format:
```
KSrTa2
1.0
4.329 0.000 0.000
0.000 4.329 0.000
0.000 0.000 7.615
K Sr Ta
1 1 2
Cartesian
0.000 0.000 0.000 K
0.000 0.000 3.808 Sr
2.164 2.164 2.661 Ta
2.164 2.164 4.954 Ta
```

Output
offset from the most stable computed form = 189.8 kJ/mol of formula units
electronic total energy = -5.331 eV per atom
ΔH_f (0 K) = 1.688 eV per atom

=====

No. 6
A relaxed structure of K3SrTc, computed with GGA-PBEsol.

The structure in POSCAR format:
```
K3SrTc
1.0
6.367 0.000 0.000
0.000 6.367 0.000
0.000 0.000 6.367
K Sr Tc
3 1 1
Cartesian
0.000 0.000 3.183 K
0.000 3.183 0.000 K
3.183 0.000 0.000 K
3.183 3.183 3.183 Sr
0.000 0.000 0.000 Tc
```

Output
electronic total energy = -2.048 eV per atom
ΔH_f (0 K) = 1.254 eV per atom

=====

No. 7
A relaxed structure of KSr2Tc2, computed with GGA-PBEsol.

The structure in POSCAR format:
```
KSr2Tc2
1.0
-2.999 2.999 4.621
2.999 -2.999 4.621
2.999 2.999 -4.621
K Sr Tc
1 2 2
Cartesian
0.000 0.000 0.000 K
2.999 0.000 2.310 Sr
0.000 2.999 2.310 Sr
0.000 0.000 3.581 Tc
0.000 0.000 5.661 Tc
```

Output
electronic total energy = -4.370 eV per atom
ΔH_f (0 K) = 1.099 eV per atom

=====

No. 8
A relaxed structure of KSrTiTc2, computed with GGA-PBEsol.

The structure in POSCAR format:
```
KSrTiTc2
1.0
4.614 0.000 0.000
0.000 4.614 0.000
0.000 0.000 5.845
K Sr Ti Tc
1 1 1 2
Cartesian
0.000 0.000 0.000 K
2.307 2.307 0.000 Sr
2.307 2.307 2.923 Ti
0.000 2.307 2.923 Tc
2.307 0.000 2.923 Tc
```

Output
electronic total energy = -5.524 eV per atom
ΔH_f (0 K) = 1.242 eV per atom

=====

No. 9
A relaxed structure of K2SrTiTc, computed with GGA-PBEsol.

The structure in POSCAR format:
```
K2SrTiTc
1.0
6.401 0.000 0.000
0.000 6.401 0.000
0.000 0.000 4.436
K Sr Ti Tc
2 1 1 1
Cartesian
0.000 3.201 0.000 K
3.201 0.000 0.000 K
0.000 0.000 2.218 Sr
3.201 3.201 2.218 Ti
3.201 3.201 0.000 Tc
```

Output
electronic total energy = -3.733 eV per atom
ΔH_f (0 K) = 1.006 eV per atom

=====

No. 10
A relaxed structure of K2SrTi, computed with GGA-PBEsol.

The structure in POSCAR format:
```
K2SrTi
1.0
0.000 4.459 4.459
4.459 0.000 4.459
4.459 4.459 0.000
K Sr Ti
2 1 1
Cartesian
2.229 2.229 2.229 K
6.688 6.688 6.688 K
0.000 0.000 0.000 Sr
4.459 4.459 4.459 Ti
```

Output
electronic total energy = -2.161 eV per atom
ΔH_f (0 K) = 0.946 eV per atom

=====

No. 11
A relaxed structure of K2SrTl, computed with GGA-PBEsol.

The structure in POSCAR format:
```
K2SrTl
1.0
0.000 4.399 4.399
4.399 0.000 4.399
4.399 4.399 0.000
K Sr Tl
2 1 1
Cartesian
2.199 2.199 2.199 K
6.598 6.598 6.598 K
0.000 0.000 0.000 Sr
4.399 4.399 4.399 Tl
```

Output
offset from the most stable computed form = 93.9 kJ/mol of formula units
electronic total energy = -1.552 eV per atom
ΔH_f (0 K) = 0.132 eV per atom

=====

No. 12
A relaxed structure of K2SrTl, computed with GGA-PBEsol.

The structure in POSCAR format:
```
K2SrTl
1.0
4.196 0.000 0.000
0.000 4.195 0.000
-0.023 0.000 10.925
K Sr Tl
2 1 1
Cartesian
0.000 0.000 0.000 K
2.067 2.097 3.726 K
4.176 0.000 7.029 Sr
2.079 2.097 8.627 Tl
```

Output
offset from the most stable computed form = 0.0 kJ/mol of formula units
electronic total energy = -1.796 eV per atom
ΔH_f (0 K) = -0.111 eV per atom

=====

- Which of these has the lowest electronic total energy?
  number 3

=====

What did the first record say?
A relaxed structure of KSrTa2, computed with GGA-PBEsol.

The structure in POSCAR format:
```
KSrTa2
1.0
4.024 0.000 0.000
0.000 4.024 0.000
0.000 0.000 5.917
K Sr Ta
1 1 2
Cartesian
0.000 0.000 0.000 K
2.012 2.012 0.000 Sr
0.000 2.012 2.958 Ta
2.012 0.000 2.958 Ta
```

Output
offset from the most stable computed form = 77.5 kJ/mol of formula units
electronic total energy = -5.622 eV per atom
ΔH_f (0 K) = 1.397 eV per atom